This record from Alexandria describes a crystal of Y3Fe relaxed with PBEsol. The functional is meta-GGA SCAN.

Output
- SG: Pnma, No. 62
- Energy of formation from the pure elements: 108 meV/atom

Lattice parameters (Å, degrees): 6.9626 9.0561 6.1950 90.00 90.00 90.00
Last column: nearest neighbours and their distance in Å.
Atoms (fractional coordinates):
1 Y 0.0507 0.2500 0.1370  2 Fe 2.59-2.70
2 Y 0.1739 0.0672 0.6721  2 Fe 2.72-2.89
3 Y 0.1739 0.4328 0.6721  2 Fe 2.72-2.89
4 Y 0.3261 0.5672 0.1721  2 Fe 2.72-2.89
5 Y 0.3261 0.9328 0.1721  2 Fe 2.72-2.89
6 Y 0.4493 0.7500 0.6370  2 Fe 2.59-2.70
7 Y 0.5507 0.2500 0.3630  2 Fe 2.59-2.70
8 Y 0.6739 0.0672 0.8279  2 Fe 2.72-2.89
9 Y 0.6739 0.4328 0.8279  2 Fe 2.72-2.89
10 Y 0.8261 0.5672 0.3279  2 Fe 2.72-2.89
11 Y 0.8261 0.9328 0.3279  2 Fe 2.72-2.89
12 Y 0.9493 0.7500 0.8630  2 Fe 2.59-2.70
13 Fe 0.1100 0.7500 0.4669  6 Y 2.59-2.89
14 Fe 0.3900 0.2500 0.9669  6 Y 2.59-2.89
15 Fe 0.6100 0.7500 0.0331  6 Y 2.59-2.89
16 Fe 0.8900 0.2500 0.5331  6 Y 2.59-2.89

This record from Alexandria describes a crystal of YFe3 relaxed with PBEsol. The functional is meta-GGA SCAN.

Output
- SG: P6_3/mmc, No. 194
- Energy of formation from the pure elements: 0 meV/atom

Lattice parameters (Å, degrees): 4.9717 4.9717 15.8544 90.00 90.00 120.00
Last column: nearest neighbours and their distance in Å.
Atoms (fractional coordinates):
1 Y 0.3333 0.6667 0.0373  12 Fe 2.88-2.99, 3 Y 3.10
2 Y 0.3333 0.6667 0.2500  18 Fe 2.87-3.14
3 Y 0.3333 0.6667 0.4627  12 Fe 2.88-2.99, 3 Y 3.10
4 Y 0.6667 0.3333 0.5373  12 Fe 2.88-2.99, 3 Y 3.10
5 Y 0.6667 0.3333 0.7500  18 Fe 2.87-3.14
6 Y 0.6667 0.3333 0.9627  12 Fe 2.88-2.99, 3 Y 3.10
7 Fe 0.0000 0.0000 0.0000  6 Fe 2.49
8 Fe 0.0000 0.0000 0.2500  6 Fe 2.40
9 Fe 0.0000 0.0000 0.5000  6 Fe 2.49
10 Fe 0.0000 0.0000 0.7500  6 Fe 2.40
11 Fe 0.1670 0.3340 0.6285  7 Fe 2.40-2.49
12 Fe 0.1670 0.3340 0.8715  7 Fe 2.40-2.49
13 Fe 0.1670 0.8330 0.6285  7 Fe 2.40-2.49
14 Fe 0.1670 0.8330 0.8715  7 Fe 2.40-2.49
15 Fe 0.3333 0.6667 0.7500  6 Fe 2.40
16 Fe 0.3340 0.1670 0.1285  7 Fe 2.40-2.49
17 Fe 0.3340 0.1670 0.3715  7 Fe 2.40-2.49
18 Fe 0.6660 0.8330 0.6285  7 Fe 2.40-2.49
19 Fe 0.6660 0.8330 0.8715  7 Fe 2.40-2.49
20 Fe 0.6667 0.3333 0.2500  6 Fe 2.40
21 Fe 0.8330 0.1670 0.1285  7 Fe 2.40-2.49
22 Fe 0.8330 0.1670 0.3715  7 Fe 2.40-2.49
23 Fe 0.8330 0.6660 0.1285  7 Fe 2.40-2.49
24 Fe 0.8330 0.6660 0.3715  7 Fe 2.40-2.49

Number 1: total energy -25.306 eV/atom, ρ 5485 kg/m3. Number 2: total energy -20.558 eV/atom, ρ 7528 kg/m3.